Entry 1:
! Cs3CuOs PBE optimized geometry; values from VASP
&SYSTEM
  ibrav = 0, nat = 5, ntyp = 3
/
ATOMIC_SPECIES
Cs 132.91 Cs.upf
Os 190.23 Os.upf
Cu 63.55 Cu.upf
CELL_PARAMETERS angstrom
-4.627 3.796 1.001
-2.498 -4.040 3.776
3.029 2.467 4.644
ATOMIC_POSITIONS angstrom
Cs 1.514 1.233 2.322
Os 0.000 0.000 0.000
Cs -2.313 1.898 0.501
Cs -1.249 -2.020 1.888
Cu -2.048 1.111 4.710
! - Space-group type: Pm-3m
! - Calculated formation energy: 120 kJ/mol of atoms
! - Excess energy over the best structure of this formula in the dataset: 0 meV per atom
! - Calculated volume: 223.4 Å³ per cell
! - Mass density: 4.85 Mg/m³

---

Entry 2:
! Ho4Mg3Al PBE optimized geometry; values from VASP
&SYSTEM
  ibrav = 0, nat = 8, ntyp = 3
/
ATOMIC_SPECIES
Ho 164.93 Ho.upf
Mg 24.30 Mg.upf
Al 26.98 Al.upf
CELL_PARAMETERS angstrom
3.404 0.000 0.000
0.000 4.969 0.000
0.000 0.000 12.448
ATOMIC_POSITIONS angstrom
Ho 1.702 2.484 3.990
Mg 0.000 0.000 5.380
Ho 0.000 0.000 2.051
Mg 0.000 2.484 7.033
Ho 1.702 0.000 8.408
Al 1.702 2.484 0.832
Mg 1.702 0.000 11.683
Ho 0.000 2.484 10.417
! - Space-group type: Pmm2
! - Calculated formation energy: -9 kJ/mol of atoms
! - Excess energy over the best structure of this formula in the dataset: 72 meV per atom
! - Calculated volume: 210.6 Å³ per cell
! - Mass density: 5.99 Mg/m³

---

Entry 3:
! AgIrS3 PBE optimized geometry; values from VASP
&SYSTEM
  ibrav = 0, nat = 5, ntyp = 3
/
ATOMIC_SPECIES
S 32.06 S.upf
Ag 107.87 Ag.upf
Ir 192.22 Ir.upf
CELL_PARAMETERS angstrom
-2.863 3.122 -2.008
-3.201 -0.793 3.332
1.879 3.406 2.616
ATOMIC_POSITIONS angstrom
S -1.601 -0.396 1.666
S 0.940 1.703 1.308
Ag -2.093 2.868 1.970
S -1.432 1.561 -1.004
Ir 0.000 0.000 0.000
! - Space-group type: Pm-3m
! - Excess energy over the best structure of this formula in the dataset: 0 meV per atom
! - Calculated volume: 103.0 Å³ per cell
! - Mass density: 6.39 Mg/m³

---

Entry 4:
! BaCoCl PBE optimized geometry; values from VASP
&SYSTEM
  ibrav = 0, nat = 6, ntyp = 3
/
ATOMIC_SPECIES
Cl 35.45 Cl.upf
Ba 137.33 Ba.upf
Co 58.93 Co.upf
CELL_PARAMETERS angstrom
4.229 -0.029 0.000
2.141 3.647 0.000
4.232 -2.459 12.036
ATOMIC_POSITIONS angstrom
Cl 5.184 -1.735 10.278
Ba 9.432 0.678 12.036
Cl 5.181 0.694 6.697
Co 5.184 0.696 2.469
Ba 3.058 -0.511 4.938
Co 3.078 1.931 2.469
! - Space-group type: Cm
! - Excess energy over the best structure of this formula in the dataset: 1 meV per atom
! - Calculated volume: 186.4 Å³ per cell
! - Mass density: 4.13 Mg/m³

---

Entry 5:
! CuReW2 PBE optimized geometry; values from VASP
&SYSTEM
  ibrav = 0, nat = 4, ntyp = 3
/
ATOMIC_SPECIES
W 183.84 W.upf
Cu 63.55 Cu.upf
Re 186.21 Re.upf
CELL_PARAMETERS angstrom
-3.225 -0.640 2.132
1.711 -3.114 1.653
1.406 2.261 2.806
ATOMIC_POSITIONS angstrom
W -0.757 -1.877 1.892
Cu -0.909 0.811 2.469
Re 1.558 -0.426 2.229
W 0.000 0.000 0.000
! - Space-group type: P4/mmm
! - Calculated formation energy: 22 kJ/mol of atoms
! - Excess energy over the best structure of this formula in the dataset: 0 meV per atom
! - Calculated volume: 59.4 Å³ per cell
! - Mass density: 17.26 Mg/m³

---

Entry 6:
! CrAsSe2Br PBE optimized geometry; values from VASP
&SYSTEM
  ibrav = 0, nat = 5, ntyp = 4
/
ATOMIC_SPECIES
Br 79.90 Br.upf
Se 78.96 Se.upf
Cr 52.00 Cr.upf
As 74.92 As.upf
CELL_PARAMETERS angstrom
-2.323 1.314 -4.301
-2.875 -4.156 0.284
-3.481 2.591 2.672
ATOMIC_POSITIONS angstrom
Br 0.000 0.000 0.000
Se -1.438 -2.078 0.142
Se -1.162 0.657 -2.150
Cr -4.340 -0.126 -0.673
As -1.740 1.295 1.336
! - Space-group type: P4/mmm
! - Excess energy over the best structure of this formula in the dataset: 1419 meV per atom
! - Calculated volume: 130.5 Å³ per cell
! - Mass density: 4.64 Mg/m³

---

Entry 7:
! K5NaAu4 PBE optimized geometry; values from VASP
&SYSTEM
  ibrav = 0, nat = 10, ntyp = 3
/
ATOMIC_SPECIES
Na 22.99 Na.upf
K 39.10 K.upf
Au 196.97 Au.upf
CELL_PARAMETERS angstrom
4.046 0.000 0.000
0.000 4.046 0.000
0.000 0.000 21.439
ATOMIC_POSITIONS angstrom
Na 0.000 0.000 0.000
K 2.023 2.023 14.616
Au 0.000 0.000 4.739
Au 0.000 0.000 16.701
K 2.023 2.023 18.463
K 2.023 2.023 2.977
Au 0.000 0.000 8.721
Au 0.000 0.000 12.718
K 2.023 2.023 6.823
K 2.023 2.023 10.720
! - Space-group type: P4/mmm
! - Calculated formation energy: -23 kJ/mol of atoms
! - Excess energy over the best structure of this formula in the dataset: 7 meV per atom
! - Calculated volume: 351.0 Å³ per cell
! - Mass density: 4.76 Mg/m³